No. 1
Compound: Pm16Pr6Er7
Source: Alexandria via LeMat-Bulk
Functional: PBE
Structure: optimized geometry

The structure belongs to space group Fm-3m (No. 225); the cell edges are 16.013, 16.013 and 16.013 Å and the angles 90.00°, 90.00° and 90.00°. Symmetry generates all atoms from Pm at (0.125, 0.125, 0.125), Pm at (0.152, 0.152, 0.348), Pr at (0.000, 0.000, 0.279), Er at (0.000, 0.000, 0.000) and Er at (0.000, 0.250, 0.250).

As for the formation enthalpy at 0 K: 205.4 meV/atom.

No. 2
Compound: Pm5Pr2Er4
Source: Alexandria via LeMat-Bulk
Functional: PBE
Structure: optimized geometry

The structure belongs to space group C2/m (No. 12); the cell edges are 17.783, 3.553 and 11.707 Å and the angles 90.00°, 93.97° and 90.00°. Symmetry generates all atoms from Pm at (0.000, 0.000, 0.000), Pm at (0.095, 0.500, 0.536), Pm at (0.176, 0.500, 0.068), Pr at (0.216, 0.000, 0.351), Er at (0.032, 0.500, 0.257) and Er at (0.139, 0.000, 0.798).

As for the formation enthalpy at 0 K: 68.9 meV/atom.

No. 3
Compound: Pm12PrEr6
Source: Alexandria via LeMat-Bulk
Functional: PBE
Structure: optimized geometry

The structure belongs to space group R-3m (No. 166, hexagonal axes); the cell edges are 13.3923, 13.3923 and 12.6663 Å and the angles 90.00°, 90.00° and 120.00°. Symmetry generates all atoms from Pm at (0.0000, 0.2583, 0.0000), Pm at (0.0909, 0.1818, 0.7637), Pr at (0.0000, 0.0000, 0.5000) and Er at (0.0410, 0.5205, 0.1206).

As for the formation enthalpy at 0 K: 194.2 meV/atom.